The following is a PBE calculation of a relaxed structure of KReTe2, from the Alexandria database.

Values from the calculation:
Formation energy without anion corrections = 0.215 eV/atom
Spin magnetization = 0.00 μB per formula unit
Calculated volume = 267.9 Å³/cell
Energy above the most stable polymorph in this dataset = 258 meV per atom

abc: 13.364 3.483 6.530
angles: 90.00 118.17 90.00
Space group Cm (No. 8)
Unique sites:
K  0.000  0.000  0.000 (multiplicity 2)
Re  0.249  0.500  0.050 (multiplicity 2)
Te  0.193  0.000  0.713 (multiplicity 2)
Te  0.383  0.000  0.361 (multiplicity 2)